Here is an optimized crystal structure of CsKCu2Cl6 from Alexandria. Energies are from PBE-GGA.

Computed properties:
space group: No. 15
ΔE_f (raw): -1.050 eV/atom
Fermi-level density of states: 8.53 states/eV/cell

The structure in POSCAR format:
```
CsKCu2Cl6
1.0
5.6681 -7.0469 0.0000
5.6681 7.0469 0.0000
-3.6264 0.0000 8.7230
Cs K Cu Cl
2 2 4 12
direct
0.1392 0.8608 0.7500 Cs
0.8608 0.1392 0.2500 Cs
0.4434 0.5566 0.2500 K
0.5566 0.4434 0.7500 K
0.0920 0.3749 0.6976 Cu
0.3749 0.0920 0.1976 Cu
0.6251 0.9080 0.8024 Cu
0.9080 0.6251 0.3024 Cu
0.1220 0.5573 0.3550 Cl
0.1955 0.1951 0.1040 Cl
0.1951 0.1955 0.6040 Cl
0.2782 0.5551 0.8937 Cl
0.4427 0.8780 0.1450 Cl
0.4449 0.7218 0.6063 Cl
0.5551 0.2782 0.3937 Cl
0.5573 0.1220 0.8550 Cl
0.7218 0.4449 0.1063 Cl
0.8049 0.8045 0.3960 Cl
0.8045 0.8049 0.8960 Cl
0.8780 0.4427 0.6450 Cl
```

---

Here is an optimized crystal structure of Dy2TmSi2Pt7 from Alexandria. Energies are from PBE-GGA.

Computed properties:
space group: No. 12
ΔE_f (raw): -1.147 eV/atom
Fermi-level density of states: 4.83 states/eV/cell

The structure in POSCAR format:
```
Dy2TmSi2Pt7
1.0
2.8567 -2.8339 0.0000
2.8567 2.8339 0.0000
-2.1093 0.0000 13.6006
Dy Tm Si Pt
2 1 2 7
direct
0.1186 0.1186 0.3559 Dy
0.8814 0.8814 0.6441 Dy
0.0000 0.0000 0.0000 Tm
0.4041 0.4041 0.7430 Si
0.5959 0.5959 0.2570 Si
0.0601 0.5597 0.1600 Pt
0.3653 0.3653 0.5720 Pt
0.4403 0.9399 0.8400 Pt
0.5000 0.5000 0.0000 Pt
0.5597 0.0601 0.1600 Pt
0.6347 0.6347 0.4280 Pt
0.9399 0.4403 0.8400 Pt
```

---

Here is an optimized crystal structure of Mg4ScAu5 from Alexandria. Energies are from PBE-GGA.

Computed properties:
formation energy from the elements: -656 meV/atom
space group: No. 123
Fermi-level density of states: 4.16 states/eV/cell

The structure in POSCAR format:
```
Mg4ScAu5
1.0
3.3564 0.0000 0.0000
0.0000 3.3564 0.0000
0.0000 0.0000 16.3505
Mg Sc Au
4 1 5
direct
0.0000 0.0000 0.0982 Mg
0.0000 0.0000 0.2952 Mg
0.0000 0.0000 0.7048 Mg
0.0000 0.0000 0.9018 Mg
0.0000 0.0000 0.5000 Sc
0.5000 0.5000 0.0000 Au
0.5000 0.5000 0.1963 Au
0.5000 0.5000 0.3968 Au
0.5000 0.5000 0.6032 Au
0.5000 0.5000 0.8037 Au
```

---

Here is an optimized crystal structure of PmAlSb from Alexandria. Energies are from PBE-GGA.

Computed properties:
space group: No. 187
ΔE_f (raw): -0.479 eV/atom
excess energy over the best structure of this formula in the dataset: 0.0 kJ/mol of atoms
Fermi-level density of states: 1.65 states/eV/cell

The structure in POSCAR format:
```
PmAlSb
1.0
4.7497 0.0000 0.0000
-2.3748 4.1133 0.0000
0.0000 0.0000 3.9771
Pm Al Sb
1 1 1
direct
0.0000 0.0000 0.0000 Pm
0.3333 0.6667 0.5000 Al
0.6667 0.3333 0.5000 Sb
```

---

Here is an optimized crystal structure of Ac3MgZn6Ru2 from Alexandria. Energies are from PBE-GGA.

Computed properties:
formation energy from the elements: 47 meV/atom
space group: No. 164
Fermi-level density of states: 12.69 states/eV/cell

The structure in POSCAR format:
```
Ac3MgZn6Ru2
1.0
6.4621 0.0000 0.0000
-3.2310 5.5963 0.0000
0.0000 0.0000 7.8800
Ac Mg Zn Ru
3 1 6 2
direct
0.0000 0.0000 0.0000 Ac
0.3333 0.6667 0.7622 Ac
0.6667 0.3333 0.2378 Ac
0.0000 0.0000 0.5000 Mg
0.1999 0.3998 0.3535 Zn
0.1999 0.8001 0.3535 Zn
0.3998 0.1999 0.6465 Zn
0.6002 0.8001 0.3535 Zn
0.8001 0.1999 0.6465 Zn
0.8001 0.6002 0.6465 Zn
0.3333 0.6667 0.0987 Ru
0.6667 0.3333 0.9013 Ru
```

---

Here is an optimized crystal structure of La5Nd2Y4 from Alexandria. Energies are from PBE-GGA.

Computed properties:
formation energy from the elements: 21 meV/atom
space group: No. 12
excess energy over the best structure of this formula in the dataset: 0.0 kJ/mol of atoms
Fermi-level density of states: 20.36 states/eV/cell

The structure in POSCAR format:
```
La5Nd2Y4
1.0
12.0693 -1.8341 0.0000
12.0693 1.8341 0.0000
-2.2574 0.0000 8.6944
La Nd Y
5 2 4
direct
0.0000 0.0000 0.0000 La
0.2724 0.2724 0.1858 La
0.3640 0.3640 0.9066 La
0.6360 0.6360 0.0934 La
0.7276 0.7276 0.8142 La
0.0900 0.0900 0.7230 Nd
0.9100 0.9100 0.2770 Nd
0.1813 0.1813 0.4549 Y
0.4544 0.4544 0.6329 Y
0.5456 0.5456 0.3671 Y
0.8187 0.8187 0.5451 Y
```

---

Here is an optimized crystal structure of KSr3 from Alexandria. Energies are from PBE-GGA.

Computed properties:
formation energy from the elements: 78 meV/atom
space group: No. 47
excess energy over the best structure of this formula in the dataset: 3.1 kJ/mol of atoms
Fermi-level density of states: 4.28 states/eV/cell

The structure in POSCAR format:
```
KSr3
1.0
4.2767 0.0000 0.0000
0.0000 6.1716 0.0000
0.0000 0.0000 8.7694
K Sr
1 3
direct
0.0000 0.0000 0.0000 K
0.0000 0.0000 0.5000 Sr
0.5000 0.5000 0.2612 Sr
0.5000 0.5000 0.7388 Sr
```

---

Here is an optimized crystal structure of PrCuIr from Alexandria. Energies are from PBE-GGA.

Computed properties:
formation energy from the elements: -183 meV/atom
space group: No. 12
excess energy over the best structure of this formula in the dataset: 23.5 kJ/mol of atoms
Fermi-level density of states: 3.06 states/eV/cell

The structure in POSCAR format:
```
PrCuIr
1.0
9.7598 0.0000 0.0000
0.0000 5.8054 0.0000
-2.2693 0.0000 4.1515
Pr Cu Ir
4 4 4
direct
0.1308 0.0000 0.3802 Pr
0.3692 0.5000 0.6198 Pr
0.6308 0.5000 0.3802 Pr
0.8692 0.0000 0.6198 Pr
0.0008 0.5000 0.7507 Cu
0.4992 0.0000 0.2493 Cu
0.5008 0.0000 0.7507 Cu
0.9992 0.5000 0.2493 Cu
0.2500 0.2500 0.0000 Ir
0.2500 0.7500 0.0000 Ir
0.7500 0.2500 0.0000 Ir
0.7500 0.7500 0.0000 Ir
```

---

Here is an optimized crystal structure of Li2Pd2Pb from Alexandria. Energies are from PBE-GGA.

Computed properties:
formation energy from the elements: -406 meV/atom
space group: No. 12
excess energy over the best structure of this formula in the dataset: 0.0 kJ/mol of atoms
Fermi-level density of states: 3.30 states/eV/cell

The structure in POSCAR format:
```
Li2Pd2Pb
1.0
7.8327 0.0000 0.0000
0.0000 4.5016 0.0000
-2.6170 0.0000 4.7873
Li Pd Pb
4 4 2
direct
0.2053 0.0000 0.1165 Li
0.2947 0.5000 0.8835 Li
0.7053 0.5000 0.1165 Li
0.7947 0.0000 0.8835 Li
0.0968 0.5000 0.2890 Pd
0.4032 0.0000 0.7110 Pd
0.5968 0.0000 0.2890 Pd
0.9032 0.5000 0.7110 Pd
0.0000 0.0000 0.5000 Pb
0.5000 0.5000 0.5000 Pb
```

---

Here is an optimized crystal structure of CdBRh3 from Alexandria. Energies are from PBE-GGA.

Computed properties:
formation energy from the elements: 292 meV/atom
space group: No. 119
excess energy over the best structure of this formula in the dataset: 48.5 kJ/mol of atoms
Fermi-level density of states: 10.83 states/eV/cell

The structure in POSCAR format:
```
CdBRh3
1.0
-2.5087 2.5087 6.5692
2.5087 -2.5087 6.5692
2.5087 2.5087 -6.5692
Cd B Rh
2 2 6
direct
0.1692 0.1692 0.0000 Cd
0.8308 0.8308 0.0000 Cd
0.5000 0.5000 0.0000 B
0.7500 0.2500 0.5000 B
0.0548 0.5548 0.5000 Rh
0.1250 0.3741 0.7508 Rh
0.4452 0.9452 0.5000 Rh
0.6233 0.3741 0.2492 Rh
0.6259 0.3767 0.7508 Rh
0.6259 0.8750 0.2492 Rh
```

---

Here is an optimized crystal structure of CaMgAgBi from Alexandria. Energies are from PBE-GGA.

Computed properties:
formation energy from the elements: -356 meV/atom
space group: No. 216
Fermi-level density of states: 1.08 states/eV/cell

The structure in POSCAR format:
```
CaMgAgBi
1.0
7.4147 0.0000 0.0000
0.0000 7.4147 0.0000
0.0000 0.0000 7.4147
Ca Mg Ag Bi
4 4 4 4
direct
0.0000 0.0000 0.0000 Ca
0.0000 0.5000 0.5000 Ca
0.5000 0.0000 0.5000 Ca
0.5000 0.5000 0.0000 Ca
0.0000 0.0000 0.5000 Mg
0.0000 0.5000 0.0000 Mg
0.5000 0.0000 0.0000 Mg
0.5000 0.5000 0.5000 Mg
0.2500 0.2500 0.2500 Ag
0.2500 0.7500 0.7500 Ag
0.7500 0.2500 0.7500 Ag
0.7500 0.7500 0.2500 Ag
0.2500 0.2500 0.7500 Bi
0.2500 0.7500 0.2500 Bi
0.7500 0.2500 0.2500 Bi
0.7500 0.7500 0.7500 Bi
```

---

Here is an optimized crystal structure of K2IrPt2 from Alexandria. Energies are from PBE-GGA.

Computed properties:
formation energy from the elements: 159 meV/atom
space group: No. 127
Fermi-level density of states: 12.46 states/eV/cell

The structure in POSCAR format:
```
K2IrPt2
1.0
6.5706 0.0000 0.0000
0.0000 6.5706 0.0000
0.0000 0.0000 5.4497
K Ir Pt
4 2 4
direct
0.1797 0.3203 0.0000 K
0.3203 0.8203 0.0000 K
0.6797 0.1797 0.0000 K
0.8203 0.6797 0.0000 K
0.0000 0.0000 0.5000 Ir
0.5000 0.5000 0.5000 Ir
0.1375 0.6375 0.5000 Pt
0.3625 0.1375 0.5000 Pt
0.6375 0.8625 0.5000 Pt
0.8625 0.3625 0.5000 Pt
```

---

Here is an optimized crystal structure of CaAl3Ir3 from Alexandria. Energies are from PBE-GGA.

Computed properties:
formation energy from the elements: -152 meV/atom
space group: No. 223
Fermi-level density of states: 8.30 states/eV/cell

The structure in POSCAR format:
```
CaAl3Ir3
1.0
6.7463 0.0000 0.0000
0.0000 6.7463 0.0000
0.0000 0.0000 6.7463
Ca Al Ir
2 6 6
direct
0.0000 0.0000 0.0000 Ca
0.5000 0.5000 0.5000 Ca
0.0000 0.2500 0.5000 Al
0.0000 0.7500 0.5000 Al
0.2500 0.5000 0.0000 Al
0.5000 0.0000 0.2500 Al
0.5000 0.0000 0.7500 Al
0.7500 0.5000 0.0000 Al
0.0000 0.5000 0.2500 Ir
0.0000 0.5000 0.7500 Ir
0.2500 0.0000 0.5000 Ir
0.5000 0.2500 0.0000 Ir
0.5000 0.7500 0.0000 Ir
0.7500 0.0000 0.5000 Ir
```

---

Here is an optimized crystal structure of Re2SiP from Alexandria. Energies are from PBE-GGA.

Computed properties:
space group: No. 119
ΔE_f (raw): 0.315 eV/atom
excess energy over the best structure of this formula in the dataset: 50.9 kJ/mol of atoms
Fermi-level density of states: 5.85 states/eV/cell

The structure in POSCAR format:
```
Re2SiP
1.0
3.8918 0.0000 0.0000
0.0000 3.8918 0.0000
0.0000 0.0000 7.4047
Re Si P
4 2 2
direct
0.0000 0.0000 0.0000 Re
0.0000 0.5000 0.2500 Re
0.5000 0.0000 0.7500 Re
0.5000 0.5000 0.5000 Re
0.0000 0.5000 0.7500 Si
0.5000 0.0000 0.2500 Si
0.0000 0.0000 0.5000 P
0.5000 0.5000 0.0000 P
```

---

Here is an optimized crystal structure of Na2TlCdIn from Alexandria. Energies are from PBE-GGA.

Computed properties:
formation energy from the elements: -103 meV/atom
space group: No. 11
Fermi-level density of states: 3.32 states/eV/cell

The structure in POSCAR format:
```
Na2TlCdIn
1.0
6.3597 0.0000 0.0000
0.0000 5.2391 0.0000
-1.7701 0.0000 7.9404
Na Tl Cd In
4 2 2 2
direct
0.1578 0.2500 0.0375 Na
0.3367 0.2500 0.4496 Na
0.6633 0.7500 0.5504 Na
0.8422 0.7500 0.9625 Na
0.4440 0.7500 0.1551 Tl
0.5560 0.2500 0.8449 Tl
0.0535 0.7500 0.3510 Cd
0.9465 0.2500 0.6490 Cd
0.2325 0.7500 0.7391 In
0.7675 0.2500 0.2609 In
```

---

Here is an optimized crystal structure of PIr3Pd from Alexandria. Energies are from PBE-GGA.

Computed properties:
formation energy from the elements: 625 meV/atom
space group: No. 221
excess energy over the best structure of this formula in the dataset: 0.0 kJ/mol of atoms
Fermi-level density of states: 8.29 states/eV/cell

The structure in POSCAR format:
```
PIr3Pd
1.0
4.3816 0.0000 0.0000
0.0000 4.3816 0.0000
0.0000 0.0000 4.3816
P Ir Pd
1 3 1
direct
0.0000 0.0000 0.0000 P
0.0000 0.0000 0.5000 Ir
0.0000 0.5000 0.0000 Ir
0.5000 0.0000 0.0000 Ir
0.5000 0.5000 0.5000 Pd
```

---

Here is an optimized crystal structure of ThNpGe2 from Alexandria. Energies are from PBE-GGA.

Computed properties:
formation energy from the elements: -320 meV/atom
space group: No. 123
excess energy over the best structure of this formula in the dataset: 0.0 kJ/mol of atoms
Fermi-level density of states: 6.31 states/eV/cell

The structure in POSCAR format:
```
ThNpGe2
1.0
3.3703 0.0000 0.0000
0.0000 3.3703 0.0000
0.0000 0.0000 8.1444
Th Np Ge
1 1 2
direct
0.0000 0.0000 0.0000 Th
0.0000 0.0000 0.5000 Np
0.5000 0.5000 0.2586 Ge
0.5000 0.5000 0.7414 Ge
```

---

Here is an optimized crystal structure of NaHfIn from Alexandria. Energies are from PBE-GGA.

Computed properties:
formation energy from the elements: 592 meV/atom
space group: No. 216
excess energy over the best structure of this formula in the dataset: 66.0 kJ/mol of atoms
Fermi-level density of states: 1.31 states/eV/cell

The structure in POSCAR format:
```
NaHfIn
1.0
6.9179 0.0000 0.0000
0.0000 6.9179 0.0000
0.0000 0.0000 6.9179
Na Hf In
4 4 4
direct
0.0000 0.0000 0.0000 Na
0.0000 0.5000 0.5000 Na
0.5000 0.0000 0.5000 Na
0.5000 0.5000 0.0000 Na
0.0000 0.0000 0.5000 Hf
0.0000 0.5000 0.0000 Hf
0.5000 0.0000 0.0000 Hf
0.5000 0.5000 0.5000 Hf
0.2500 0.2500 0.2500 In
0.2500 0.7500 0.7500 In
0.7500 0.2500 0.7500 In
0.7500 0.7500 0.2500 In
```

---

Here is an optimized crystal structure of CsKAgBr3 from Alexandria. Energies are from PBE-GGA.

Computed properties:
space group: No. 11
ΔE_f (raw): -1.290 eV/atom
Fermi-level density of states: 0.00 states/eV/cell

The structure in POSCAR format:
```
CsKAgBr3
1.0
10.1537 0.0000 0.0000
0.0000 4.6836 0.0000
-2.4695 0.0000 10.3491
Cs K Ag Br
2 2 2 6
direct
0.1919 0.2500 0.2194 Cs
0.8081 0.7500 0.7806 Cs
0.3469 0.7500 0.8510 K
0.6531 0.2500 0.1490 K
0.0842 0.2500 0.5959 Ag
0.9158 0.7500 0.4041 Ag
0.1042 0.2500 0.8501 Br
0.1926 0.7500 0.5187 Br
0.4359 0.7500 0.1672 Br
0.5641 0.2500 0.8328 Br
0.8074 0.2500 0.4813 Br
0.8958 0.7500 0.1499 Br
```